Material: Pm2ZrCu
Method: DFT, PBE-GGA
State: relaxed

```
Pm2ZrCu
1.0
1.644 0.949 11.103
-1.644 0.949 11.103
0.000 -1.899 11.103
Pm Zr Cu
2 1 1
Cartesian
0.000 0.000 3.245 Pm
0.000 0.000 30.064 Pm
0.000 0.000 0.000 Zr
0.000 0.000 16.655 Cu
```

## Properties
- Formation enthalpy at 0 K: 0.383 eV/atom
- ΔE to the lowest computed polymorph: 382.8 meV per atom
- Spin magnetization: 0.00 μB per formula unit